KNbTcF2 | PBE | relaxed

## Properties
Raw formation energy, eV/atom: 0.586
DFT total energy, Ha/atom: -0.1643
Symmetry: P4/mmm
Volume, Å³ per cell: 133.7

extended XYZ file:
```
5
Lattice="4.359 0.000 0.000 0.000 7.036 0.000 0.000 0.000 4.359" Properties=species:S:1:pos:R:3 pbc="T T T"
K 0.000 3.518 0.000
Nb 2.179 3.518 2.179
Tc 0.000 0.000 0.000
F 0.000 0.000 2.179
F 2.179 0.000 0.000
```


Li2PaHgF8 | PBE | relaxed

## Properties
Raw formation energy, eV/atom: -2.860
DFT total energy, Ha/atom: -0.1927
Symmetry: P-3m1
Volume, Å³ per cell: 214.7

extended XYZ file:
```
12
Lattice="5.553 0.000 0.000 -2.776 4.809 0.000 0.000 0.000 8.039" Properties=species:S:1:pos:R:3 pbc="T T T"
Li 0.000 3.206 5.493
Li 2.776 1.603 2.546
Pa 0.000 0.000 0.000
Hg 0.000 0.000 4.019
F 0.000 1.659 6.742
F -1.340 3.980 6.742
F 1.340 3.980 6.742
F 1.436 0.829 1.297
F 2.776 1.603 4.328
F 0.000 3.206 3.711
F 2.776 3.150 1.297
F 4.116 0.829 1.297
```